First-principles (GGA-PBE) data for a relaxed structure of TiCoTc, as listed in Alexandria via LeMat-Bulk.

Cell and atoms, written as extended XYZ:
```
6
Lattice="3.628 0.000 0.000 0.000 3.628 0.000 0.000 0.000 6.503" Properties=species:S:1:pos:R:3 pbc="T T T"
Ti 0.907 0.907 0.861
Ti 2.721 2.721 5.642
Co 0.907 0.907 5.054
Co 2.721 2.721 1.449
Tc 0.907 2.721 3.251
Tc 2.721 0.907 3.251
```

Volume, Å³/cell: 86
DFT total energy, eV/atom: -8.540
ΔE_f, meV per atom: -85
Total magnetic moment, μB/cell: 0.0
Energy above the most stable polymorph in this dataset, meV/atom: 57